Below is an optimized crystal structure of CrCoSi2, with properties calculated at the PBE-GGA level. Values from VASP.

Cell and atoms, written as Quantum ESPRESSO input:
```
&SYSTEM
  ibrav = 0, nat = 4, ntyp = 3
/
ATOMIC_SPECIES
Si 28.09 Si.upf
Co 58.93 Co.upf
Cr 52.00 Cr.upf
ATOMIC_POSITIONS angstrom
Si 4.208 1.395 2.307
Co 2.084 0.691 1.175
Cr 6.253 2.073 3.525
Si 7.315 2.424 0.051
CELL_PARAMETERS angstrom
4.080 0.002 0.004
3.273 2.436 0.004
0.984 0.326 4.692
```

Symmetry: C2/m
Total moment in μB per cell: 0.00
E_form (uncorrected) in meV/atom: -195

Below is an optimized crystal structure of KNaGa2Co, with properties calculated at the PBE-GGA level. Values from VASP.

Cell and atoms, written as Quantum ESPRESSO input:
```
&SYSTEM
  ibrav = 0, nat = 5, ntyp = 4
/
ATOMIC_SPECIES
Ga 69.72 Ga.upf
K 39.10 K.upf
Na 22.99 Na.upf
Co 58.93 Co.upf
ATOMIC_POSITIONS angstrom
Ga -0.401 1.894 -1.278
K -3.883 1.696 -0.477
Na -1.750 0.901 1.884
Ga -1.732 -1.098 -1.084
Co 0.000 0.000 0.000
CELL_PARAMETERS angstrom
-0.802 3.787 -2.556
-3.464 -2.196 -2.167
-3.500 1.801 3.768
```

Symmetry: P4/mmm
DFT formation energy in eV/atom: -0.020
Total moment in μB per cell: 0.00

Below is an optimized crystal structure of HoGa4Ni2Pd, with properties calculated at the PBE-GGA level. Values from VASP.

Cell and atoms, written as Quantum ESPRESSO input:
```
&SYSTEM
  ibrav = 0, nat = 8, ntyp = 4
/
ATOMIC_SPECIES
Ho 164.93 Ho.upf
Ni 58.69 Ni.upf
Ga 69.72 Ga.upf
Pd 106.42 Pd.upf
ATOMIC_POSITIONS angstrom
Ho 0.000 0.000 0.000
Ni 2.070 1.195 2.543
Ga 6.209 3.585 3.287
Ga 4.139 2.390 6.976
Ga 2.070 1.195 5.413
Pd 4.139 2.390 4.350
Ni 6.209 3.585 6.157
Ga 4.139 2.390 1.723
CELL_PARAMETERS angstrom
4.139 0.000 0.000
2.070 3.585 0.000
2.070 1.195 8.700
```

Symmetry: R-3m
DFT formation energy in eV/atom: -0.489
Total moment in μB per cell: 0.00

Below is an optimized crystal structure of Cs4AgPb4, with properties calculated at the PBE-GGA level. Values from VASP.

Cell and atoms, written as Quantum ESPRESSO input:
```
&SYSTEM
  ibrav = 0, nat = 9, ntyp = 3
/
ATOMIC_SPECIES
Cs 132.91 Cs.upf
Ag 107.87 Ag.upf
Pb 207.20 Pb.upf
ATOMIC_POSITIONS angstrom
Cs 5.285 2.136 2.509
Cs 2.509 2.136 5.285
Cs 1.388 6.353 9.182
Ag 0.000 0.000 0.000
Pb 4.945 5.998 2.849
Pb -1.048 2.490 6.746
Pb 2.849 5.998 4.945
Cs -1.388 6.353 6.407
Pb 1.048 2.490 8.843
CELL_PARAMETERS angstrom
7.795 0.000 0.000
-3.897 8.488 3.897
0.000 0.000 7.795
```

Symmetry: I-42m
DFT formation energy in eV/atom: 0.060
Total moment in μB per cell: 0.00

Below is an optimized crystal structure of ErCd5Au6, with properties calculated at the PBE-GGA level. Values from VASP.

Cell and atoms, written as Quantum ESPRESSO input:
```
&SYSTEM
  ibrav = 0, nat = 12, ntyp = 3
/
ATOMIC_SPECIES
Au 196.97 Au.upf
Cd 112.41 Cd.upf
Er 167.26 Er.upf
ATOMIC_POSITIONS angstrom
Au -1.483 4.644 3.457
Cd -1.215 1.859 4.417
Cd 0.531 3.101 1.883
Er 0.000 0.000 0.000
Au 0.810 0.326 2.842
Cd -0.528 5.582 -1.905
Au 0.253 5.876 0.923
Cd 1.591 0.621 5.670
Au 1.312 3.395 4.711
Au -0.250 2.807 -0.946
Au 2.545 1.558 0.308
Cd 2.277 4.343 -0.652
CELL_PARAMETERS angstrom
4.553 -0.002 -1.275
-3.329 6.809 -3.140
-0.162 -0.605 8.180
```

Symmetry: C2/m
DFT formation energy in eV/atom: -0.314
Total moment in μB per cell: 0.00

Below is an optimized crystal structure of CaLaEu2, with properties calculated at the PBE-GGA level. Values from VASP.

Cell and atoms, written as Quantum ESPRESSO input:
```
&SYSTEM
  ibrav = 0, nat = 4, ntyp = 3
/
ATOMIC_SPECIES
Ca 40.08 Ca.upf
La 138.91 La.upf
Eu 151.96 Eu.upf
ATOMIC_POSITIONS angstrom
Ca 3.844 2.220 6.364
La 0.000 0.000 0.000
Eu 1.922 1.110 3.139
Eu 5.767 3.329 9.589
CELL_PARAMETERS angstrom
3.844 0.000 0.000
1.922 3.329 0.000
1.922 1.110 12.728
```

Symmetry: R-3m
DFT formation energy in eV/atom: 0.038
Total moment in μB per cell: 15.34
Distance to the lowest polymorph of the same formula in eV/atom: 0.000

Below is an optimized crystal structure of LaNiBr2, with properties calculated at the PBE-GGA level. Values from VASP.

Cell and atoms, written as Quantum ESPRESSO input:
```
&SYSTEM
  ibrav = 0, nat = 4, ntyp = 3
/
ATOMIC_SPECIES
Ni 58.69 Ni.upf
Br 79.90 Br.upf
La 138.91 La.upf
ATOMIC_POSITIONS angstrom
Ni -4.746 2.120 -0.335
Br -3.392 -0.025 0.010
La -1.636 2.591 -0.417
Br -3.133 4.964 -0.800
CELL_PARAMETERS angstrom
-2.462 -1.974 -2.605
-2.448 -1.045 3.104
-3.199 5.068 -0.816
```

Symmetry: P4mm
Total moment in μB per cell: 0.00
Distance to the lowest polymorph of the same formula in eV/atom: 0.218
E_form (uncorrected) in meV/atom: -698

Below is an optimized crystal structure of Rb2BeCdP2, with properties calculated at the PBE-GGA level. Values from VASP.

Cell and atoms, written as Quantum ESPRESSO input:
```
&SYSTEM
  ibrav = 0, nat = 12, ntyp = 4
/
ATOMIC_SPECIES
Be 9.01 Be.upf
Cd 112.41 Cd.upf
P 30.97 P.upf
Rb 85.47 Rb.upf
ATOMIC_POSITIONS angstrom
Be 3.047 1.499 0.000
Cd 0.000 1.499 0.000
Be 3.047 4.498 0.000
Cd 0.000 4.498 0.000
P 1.809 2.998 1.342
P 4.285 0.000 1.342
P 1.238 0.000 6.985
Rb 1.444 0.000 2.842
Rb 1.602 2.998 5.485
Rb 4.649 2.998 2.842
P -1.238 2.998 6.985
Rb -1.602 0.000 5.485
CELL_PARAMETERS angstrom
6.094 0.000 0.000
0.000 5.997 0.000
-3.047 -2.998 8.327
```

Symmetry: Ibam
DFT formation energy in eV/atom: -0.271
Total moment in μB per cell: 0.00

Number 1: energy -7.0886 eV/atom. Number 2: energy -3.1349 eV/atom. Number 3: energy -4.6693 eV/atom. Number 4: energy -2.2848 eV/atom. Number 5: energy -2.7145 eV/atom. Number 6: energy -6.8316 eV/atom. Number 7: energy -4.2119 eV/atom. Number 8: energy -3.1705 eV/atom.